Entry 1:
TmZrCS | the Open Quantum Materials Database | PBE | optimized geometry; symmetry = P-3m1; total DFT energy (no corrections) = -7.89 eV per atom; ρ = 7506 kg/m3
1.0
3.5321 0.0000 0.0000
-1.7660 3.0589 0.0000
0.0000 0.0000 12.4599
Tm Zr C S
2 2 2 2
direct
0.3333 0.6667 0.3945 Tm
0.6667 0.3333 0.6055 Tm
0.3333 0.6667 0.0972 Zr
0.6667 0.3333 0.9028 Zr
0.0000 0.0000 0.0000 C
0.0000 0.0000 0.5000 C
0.3333 0.6667 0.7604 S
0.6667 0.3333 0.2396 S

=====

Entry 2:
ZrTaCoSi | the Open Quantum Materials Database | PBE | optimized geometry; symmetry = F-43m; total DFT energy (no corrections) = -8.12 eV per atom; ρ = 9531 kg/m3
1.0
6.3023 0.0000 0.0000
0.0000 6.3023 0.0000
0.0000 0.0000 6.3023
Zr Ta Co Si
4 4 4 4
direct
0.0000 0.0000 0.0000 Zr
0.0000 0.5000 0.5000 Zr
0.5000 0.0000 0.5000 Zr
0.5000 0.5000 0.0000 Zr
0.2500 0.2500 0.2500 Ta
0.2500 0.7500 0.7500 Ta
0.7500 0.2500 0.7500 Ta
0.7500 0.7500 0.2500 Ta
0.2500 0.2500 0.7500 Co
0.2500 0.7500 0.2500 Co
0.7500 0.2500 0.2500 Co
0.7500 0.7500 0.7500 Co
0.0000 0.0000 0.5000 Si
0.0000 0.5000 0.0000 Si
0.5000 0.0000 0.0000 Si
0.5000 0.5000 0.5000 Si

=====

Entry 3:
PrTmO3 | the Open Quantum Materials Database | PBE | optimized geometry; symmetry = R-3; total DFT energy (no corrections) = -8.26 eV per atom; ρ = 7800 kg/m3
1.0
2.9365 1.6954 5.1008
-2.9365 1.6954 5.1008
0.0000 -3.3908 5.1008
Pr Tm O
2 2 6
direct
0.1335 0.1335 0.1335 Pr
0.8665 0.8665 0.8665 Pr
0.3532 0.3532 0.3532 Tm
0.6468 0.6468 0.6468 Tm
0.0478 0.4683 0.7249 O
0.2751 0.9522 0.5317 O
0.4683 0.7249 0.0478 O
0.5317 0.2751 0.9522 O
0.7249 0.0478 0.4683 O
0.9522 0.5317 0.2751 O

=====

Entry 4:
Nd2Ho2CI3Br2 | the Open Quantum Materials Database | PBE | optimized geometry; symmetry = C2/m; total DFT energy (no corrections) = -4.82 eV per atom; ρ = 5984 kg/m3
1.0
9.4590 -1.9946 0.0000
9.4590 1.9946 0.0000
-1.8479 0.0000 8.6108
Nd Ho C I Br
2 2 1 3 2
direct
0.9996 0.9996 0.1961 Nd
0.0004 0.0004 0.8039 Nd
0.3703 0.3703 0.9372 Ho
0.6297 0.6297 0.0628 Ho
0.5000 0.5000 0.0000 C
0.1728 0.1728 0.8316 I
0.5000 0.5000 0.5000 I
0.8272 0.8272 0.1684 I
0.1615 0.1615 0.3017 Br
0.8385 0.8385 0.6983 Br